Record 1
# ScTc2Mo

Crystalline ScTc2Mo at its relaxed geometry (PBEsol, Alexandria via LeMat-Bulk). Values from VASP.

Cell and atoms, written as Quantum ESPRESSO input:
```
&SYSTEM
  ibrav = 0, nat = 4, ntyp = 3
/
ATOMIC_SPECIES
Tc 98.00 Tc.upf
Mo 95.94 Mo.upf
Sc 44.96 Sc.upf
ATOMIC_POSITIONS angstrom
Tc -0.716 0.309 2.587
Tc -2.148 0.926 7.762
Mo 0.000 0.000 0.000
Sc -1.432 0.618 5.174
CELL_PARAMETERS angstrom
-3.252 1.233 2.716
-0.559 -2.072 3.855
0.948 2.074 3.778
```

Output
ΔE_f   -0.153 eV/atom
Theoretical density   9.209 g cm⁻³
DFT total energy   -10.38 eV per atom
Symmetry   Fm-3m, No. 225
Total moment   0.00 μB per formula unit

Record 2
# ScTc2Mo

Crystalline ScTc2Mo at its relaxed geometry (PBEsol, Alexandria via LeMat-Bulk). Values from VASP.

Cell and atoms, written as Quantum ESPRESSO input:
```
&SYSTEM
  ibrav = 0, nat = 4, ntyp = 3
/
ATOMIC_SPECIES
Tc 98.00 Tc.upf
Mo 95.94 Mo.upf
Sc 44.96 Sc.upf
ATOMIC_POSITIONS angstrom
Tc 6.613 3.818 2.700
Tc 0.000 0.000 0.000
Mo 4.409 2.545 1.800
Sc 2.204 1.273 0.900
CELL_PARAMETERS angstrom
4.409 0.000 0.000
2.204 3.818 0.000
2.204 1.273 3.600
```

Output
ΔE_f   -0.015 eV/atom
Theoretical density   9.233 g cm⁻³
DFT total energy   -10.24 eV per atom
Symmetry   F-43m, No. 216
Total moment   0.00 μB per formula unit

Record 3
# ScTcMo

Crystalline ScTcMo at its relaxed geometry (PBEsol, Alexandria via LeMat-Bulk). Values from VASP.

Cell and atoms, written as Quantum ESPRESSO input:
```
&SYSTEM
  ibrav = 0, nat = 6, ntyp = 3
/
ATOMIC_SPECIES
Sc 44.96 Sc.upf
Mo 95.94 Mo.upf
Tc 98.00 Tc.upf
ATOMIC_POSITIONS angstrom
Sc 1.655 -3.404 1.460
Sc 2.705 -2.204 4.229
Mo -1.090 -2.027 1.247
Mo 0.791 -0.609 2.420
Tc -0.299 -2.636 3.667
Tc 3.270 -0.777 1.597
CELL_PARAMETERS angstrom
-2.181 -4.053 2.495
4.959 -0.336 -1.646
1.582 -1.218 4.840
```

Output
ΔE_f   -0.152 eV/atom
Theoretical density   7.779 g cm⁻³
DFT total energy   -10.03 eV per atom
Symmetry   Imma, No. 74
Total moment   0.00 μB per formula unit

Record 4
# ScTeMo2

Crystalline ScTeMo2 at its relaxed geometry (PBEsol, Alexandria via LeMat-Bulk). Values from VASP.

Cell and atoms, written as Quantum ESPRESSO input:
```
&SYSTEM
  ibrav = 0, nat = 4, ntyp = 3
/
ATOMIC_SPECIES
Sc 44.96 Sc.upf
Mo 95.94 Mo.upf
Te 127.60 Te.upf
ATOMIC_POSITIONS angstrom
Sc 1.227 0.000 2.731
Mo 2.468 2.145 1.194
Mo 0.240 0.000 0.238
Te -0.358 2.145 3.911
CELL_PARAMETERS angstrom
3.221 0.000 0.002
0.000 4.290 0.000
-0.837 0.000 5.380
```

Output
Raw formation energy   54 meV/atom
Theoretical density   8.139 g cm⁻³
DFT total energy   -8.36 eV per atom
Symmetry   Pm, No. 6
Total moment   0.00 μB per formula unit

> Look up the total moment of the fourth one.

0.00 μB per formula unit